## K2FeW (PBE-GGA)

Data for a relaxed structure of K2FeW.

Output
Distance to the lowest polymorph of the same formula (meV/atom): 93
Space group: Cm
Magnetization (μB/f.u.): 0.001
Energy of formation from the pure elements (eV per atom): 0.993
E (eV per atom): -4.91

Cell lengths 3.678, 3.678, 11.192 Å; angles 94.03, 94.03, 51.81 degrees
Positions (direct):
K  0.000  0.000  0.000
K  0.220  0.220  0.612
Fe  0.749  0.749  0.237
W  0.457  0.457  0.333